Record 1
Entry from Alexandria via LeMat-Bulk: an optimized crystal structure of HfCrSb2I (PBE-GGA).

Summary:
For the energy above the most stable polymorph in this dataset, the calculation gives 0.000 eV per formula unit. The calculation puts the formation energy without anion corrections at 0.74 eV/atom.

Cell: 5.1229 5.1229 5.2696 Å, 90.00 90.00 90.00°
Space group P4/mmm (No. 123)
Asymmetric unit:
Hf1 0.0000 0.0000 0.0000
Cr1 0.5000 0.5000 0.5000
Sb1 0.0000 0.5000 0.5000
I1 0.5000 0.5000 0.0000

***

Record 2
Entry from Alexandria via LeMat-Bulk: an optimized crystal structure of PaPd4Rh (PBE-GGA).

Summary:
For the energy above the most stable polymorph in this dataset, the calculation gives 0.000 eV per formula unit. The value obtained for the formation energy from the elements is -3.46 eV per formula unit.

Cell: 5.0792 8.7014 4.9608 Å, 90.00 113.08 90.00°
Space group C2/m (No. 12)
Asymmetric unit:
Pa1 0.0000 0.0000 0.0000
Pd1 0.0000 0.1709 0.5000
Pd2 0.0000 0.3342 0.0000
Rh1 0.0000 0.5000 0.5000

***

Record 3
Entry from Alexandria via LeMat-Bulk: an optimized crystal structure of Ac7In2Si2 (PBE-GGA).

Summary:
The calculation puts the formation energy without anion corrections at -0.23 eV/atom.

Cell: 8.8725 12.0121 7.8112 Å, 90.00 90.00 90.00°
Space group Cmmm (No. 65)
Asymmetric unit:
Ac1 0.0000 0.0000 0.0000
Ac2 0.0000 0.5000 0.2445
Ac3 0.2500 0.2500 0.2703
In1 0.1664 0.0000 0.5000
Si1 0.0000 0.2783 0.0000

***

Record 4
Entry from Alexandria via LeMat-Bulk: an optimized crystal structure of CaSm3Bi3 (PBE-GGA).

Summary:
The value obtained for the formation energy from the elements is -5.04 eV per formula unit.

Cell: 9.3698 9.3698 19.1785 Å, 90.00 90.00 120.00°
Space group R-3 (No. 148, hexagonal axes)
Asymmetric unit:
Ca1 0.0000 0.0000 0.1670
Sm1 0.0035 0.2632 0.5850
Bi1 0.0044 0.3870 0.4178

***

Record 5
Entry from Alexandria via LeMat-Bulk: an optimized crystal structure of Sc3TiCo (PBE-GGA).

Summary:
For the energy above the most stable polymorph in this dataset, the calculation gives 0.000 eV per formula unit. The value obtained for the formation energy from the elements is -0.35 eV per formula unit.

Cell: 10.1808 7.9853 7.1690 Å, 90.00 134.61 90.00°
Space group C2/m (No. 12)
Asymmetric unit:
Sc1 0.0511 0.0000 0.3360
Sc2 0.2390 0.3031 0.7770
Ti1 0.0528 0.5000 0.2512
Co1 0.2382 0.5000 0.1268

***

Record 6
Entry from Alexandria via LeMat-Bulk: an optimized crystal structure of PmH4Pt2 (PBE-GGA).

Summary:
For the energy above the most stable polymorph in this dataset, the calculation gives 0.000 eV per formula unit.

Cell: 4.8347 5.2783 7.4299 Å, 97.79 108.11 105.79°
Space group P1 (No. 1)
Asymmetric unit:
Pm1 0.0000 0.0000 0.0000
Pm2 0.3505 0.2654 0.5754
H1 0.0611 0.5663 0.0683
H2 0.4106 0.7958 0.5841
H3 0.4387 0.0057 0.3007
H4 0.5073 0.5129 0.2673
H5 0.6268 0.4790 0.9092
H6 0.8577 0.5727 0.7671
H7 0.8980 0.0552 0.3038
H8 0.9691 0.9830 0.6660
Pt1 0.1025 0.7017 0.6660
Pt2 0.2040 0.6910 0.3166
Pt3 0.3831 0.5436 0.0016
Pt4 0.7070 0.2797 0.2786

***

Record 7
Entry from Alexandria via LeMat-Bulk: an optimized crystal structure of Nd2MgBe (PBE-GGA).

Summary:
For the energy above the most stable polymorph in this dataset, the calculation gives 0.000 eV per formula unit. The value obtained for the formation energy from the elements is 0.15 eV per formula unit.

Cell: 3.6126 3.6126 7.8437 Å, 90.00 90.00 90.00°
Space group P4/mmm (No. 123)
Asymmetric unit:
Nd1 0.0000 0.0000 0.2124
Mg1 0.5000 0.5000 0.5000
Be1 0.5000 0.5000 0.0000

***

Record 8
Entry from Alexandria via LeMat-Bulk: an optimized crystal structure of Ba2FePb (PBE-GGA).

Summary:
For the energy above the most stable polymorph in this dataset, the calculation gives 0.783 eV per formula unit. The value obtained for the formation energy from the elements is 1.16 eV per formula unit.

Cell: 11.5585 11.5585 5.0804 Å, 90.00 90.00 90.00°
Space group I-42d (No. 122)
Asymmetric unit:
Ba1 0.0733 0.2500 0.1250
Fe1 0.0000 0.0000 0.0000
Pb1 0.0000 0.0000 0.5000

***

M_tot
In order: 3.59, 0.00, 0.03, 0.00, 0.00, 0.00, 0.00, 0.00
Unit: Bohr magnetons per cell